TaReAs2: optimized geometry, PBEsol.

a b c (Å): 4.6883 4.6883 4.5837
angles (deg): 105.59 105.59 39.96
With the nearest neighbours (Å) after each atom.
Fractional positions:
Ta 0.0000 0.0000 0.0000  7 As 2.56-2.82
Re 0.2378 0.2378 0.6403  7 As 2.56-2.83
As 0.5021 0.5021 0.4946  3 Re 2.56-2.60, 4 Ta 2.77-2.82
As 0.7423 0.7423 0.1519  3 Ta 2.56-2.60, 4 Re 2.76-2.83

Computed properties:
offset from the most stable computed form: 0.0000 eV/atom
total magnetic moment: 0.00 μB per cell
raw total energy: -9.18 eV/atom
crystal system: monoclinic